[1]
Density functional theory data (PBE) for a relaxed structure of TlInCu2Se.

Computed properties:
- Energy: -2.914 eV/atom
- Magnetic moment: 0.00 μB/cell

```
data_TlInCu2Se
_symmetry_space_group_name_H-M 'P 4/m m m'
_symmetry_Int_Tables_number 123
_symmetry_space_group_name_Hall '-P 4 2'
_cell_length_a 4.988
_cell_length_b 4.988
_cell_length_c 5.499
_cell_angle_alpha 90.00
_cell_angle_beta 90.00
_cell_angle_gamma 90.00
loop_
_atom_site_label
_atom_site_fract_x
_atom_site_fract_y
_atom_site_fract_z
_atom_site_occupancy
Tl1 0.000 0.000 0.000 1
In1 0.500 0.500 0.500 1
Cu1 0.000 0.500 0.500 1
Se1 0.500 0.500 0.000 1
```



[2]
Density functional theory data (PBE) for a relaxed structure of TlIn2CuSe.

Computed properties:
- Energy: -3.073 eV/atom
- Magnetic moment: 0.00 μB/cell

```
data_TlIn2CuSe
_symmetry_space_group_name_H-M 'P 4/m m m'
_symmetry_Int_Tables_number 123
_symmetry_space_group_name_Hall '-P 4 2'
_cell_length_a 5.072
_cell_length_b 5.072
_cell_length_c 5.206
_cell_angle_alpha 90.00
_cell_angle_beta 90.00
_cell_angle_gamma 90.00
loop_
_atom_site_label
_atom_site_fract_x
_atom_site_fract_y
_atom_site_fract_z
_atom_site_occupancy
Tl1 0.000 0.000 0.000 1
In1 0.000 0.500 0.500 1
Cu1 0.000 0.000 0.500 1
Se1 0.500 0.500 0.000 1
```



[3]
Density functional theory data (PBE) for a relaxed structure of TlIn2CuSe4.

Computed properties:
- Energy: -3.604 eV/atom
- Magnetic moment: 0.00 μB/cell

```
data_TlIn2CuSe4
_symmetry_space_group_name_H-M 'F m m 2'
_symmetry_Int_Tables_number 42
_symmetry_space_group_name_Hall 'F 2 -2'
_cell_length_a 8.779
_cell_length_b 8.811
_cell_length_c 12.676
_cell_angle_alpha 90.00
_cell_angle_beta 90.00
_cell_angle_gamma 90.00
loop_
_atom_site_label
_atom_site_fract_x
_atom_site_fract_y
_atom_site_fract_z
_atom_site_occupancy
Tl1 0.000 0.000 0.000 1
In1 0.250 0.250 0.248 1
Cu1 0.000 0.000 0.497 1
Se1 0.000 0.207 0.630 1
Se2 0.209 0.000 0.367 1
```



[4]
Density functional theory data (PBE) for a relaxed structure of TlInCuSe3.

Computed properties:
- Energy: -3.621 eV/atom
- Magnetic moment: 0.00 μB/cell

```
data_TlInCuSe3
_symmetry_space_group_name_H-M 'P 1 21/m 1'
_symmetry_Int_Tables_number 11
_cell_length_a 9.178
_cell_length_b 3.962
_cell_length_c 9.258
_cell_angle_alpha 90.00
_cell_angle_beta 106.08
_cell_angle_gamma 90.00
loop_
_symmetry_equiv_pos_as_xyz
'x,y,z'
'-x,-y,-z'
'-x,y+1/2,-z'
'x,-y+1/2,z'
loop_
_atom_site_label
_atom_site_fract_x
_atom_site_fract_y
_atom_site_fract_z
_atom_site_occupancy
Tl1 0.189 0.250 0.223 1
In1 0.342 0.750 0.868 1
Cu1 0.075 0.250 0.579 1
Se1 0.129 0.250 0.855 1
Se2 0.201 0.750 0.519 1
Se3 0.463 0.750 0.175 1
```



[5]
Density functional theory data (PBE) for a relaxed structure of Tm2InCuSe4.

Computed properties:
- Energy: -4.965 eV/atom
- Magnetic moment: 0.00 μB/cell

```
data_Tm2InCuSe4
_symmetry_space_group_name_H-M 'C m c m'
_symmetry_Int_Tables_number 63
_symmetry_space_group_name_Hall '-C 2c 2'
_cell_length_a 4.053
_cell_length_b 13.933
_cell_length_c 14.256
_cell_angle_alpha 90.00
_cell_angle_beta 90.00
_cell_angle_gamma 90.00
loop_
_atom_site_label
_atom_site_fract_x
_atom_site_fract_y
_atom_site_fract_z
_atom_site_occupancy
Tm1 0.000 0.133 0.066 1
In1 0.000 0.386 0.250 1
Cu1 0.000 0.338 0.750 1
Se1 0.000 0.062 0.250 1
Se2 0.000 0.234 0.610 1
Se3 0.000 0.500 0.000 1
```



[6]
Density functional theory data (PBE) for a relaxed structure of U3In3CuSe8.

Computed properties:
- Energy: -5.655 eV/atom
- Magnetic moment: 11.99 μB/cell

```
data_U3In3CuSe8
_symmetry_space_group_name_H-M 'C 1 2/m 1'
_symmetry_Int_Tables_number 12
_cell_length_a 13.922
_cell_length_b 8.008
_cell_length_c 9.155
_cell_angle_alpha 90.00
_cell_angle_beta 120.54
_cell_angle_gamma 90.00
loop_
_symmetry_equiv_pos_as_xyz
'x,y,z'
'-x,-y,-z'
'-x,y,-z'
'x,-y,z'
'x+1/2,y+1/2,z'
'-x+1/2,-y+1/2,-z'
'-x+1/2,y+1/2,-z'
'x+1/2,-y+1/2,z'
loop_
_atom_site_label
_atom_site_fract_x
_atom_site_fract_y
_atom_site_fract_z
_atom_site_occupancy
U1 0.000 0.000 0.000 1
U2 0.250 0.250 0.000 1
In1 0.000 0.500 0.500 1
In2 0.250 0.250 0.500 1
Cu1 0.000 0.500 0.000 1
Se1 0.015 0.254 0.801 1
Se2 0.233 0.500 0.202 1
Se3 0.238 0.000 0.214 1
```



[7]
Density functional theory data (PBE) for a relaxed structure of UInCu2Se4.

Computed properties:
- Energy: -4.946 eV/atom
- Magnetic moment: 5.95 μB/cell

```
data_UInCu2Se4
_symmetry_space_group_name_H-M 'I 2 2 2'
_symmetry_Int_Tables_number 23
_cell_length_a 6.873
_cell_length_b 6.926
_cell_length_c 7.606
_cell_angle_alpha 90.00
_cell_angle_beta 90.00
_cell_angle_gamma 90.00
loop_
_symmetry_equiv_pos_as_xyz
'x,y,z'
'-x,-y,z'
'x,-y,-z'
'-x,y,-z'
'x+1/2,y+1/2,z+1/2'
'-x+1/2,-y+1/2,z+1/2'
'x+1/2,-y+1/2,-z+1/2'
'-x+1/2,y+1/2,-z+1/2'
loop_
_atom_site_label
_atom_site_fract_x
_atom_site_fract_y
_atom_site_fract_z
_atom_site_occupancy
U1 0.000 0.000 0.000 1
In1 0.000 0.000 0.500 1
Cu1 0.000 0.500 0.330 1
Se1 0.219 0.232 0.307 1
```



[8]
Density functional theory data (PBE) for a relaxed structure of Y2InCuSe4.

Computed properties:
- Energy: -5.490 eV/atom
- Magnetic moment: 0.00 μB/cell

```
data_Y2InCuSe4
_symmetry_space_group_name_H-M 'C m c m'
_symmetry_Int_Tables_number 63
_symmetry_space_group_name_Hall '-C 2c 2'
_cell_length_a 4.098
_cell_length_b 14.063
_cell_length_c 14.361
_cell_angle_alpha 90.00
_cell_angle_beta 90.00
_cell_angle_gamma 90.00
loop_
_atom_site_label
_atom_site_fract_x
_atom_site_fract_y
_atom_site_fract_z
_atom_site_occupancy
Y1 0.000 0.134 0.065 1
In1 0.000 0.388 0.250 1
Cu1 0.000 0.340 0.750 1
Se1 0.000 0.062 0.250 1
Se2 0.000 0.234 0.613 1
Se3 0.000 0.500 0.000 1
```



[9]
Density functional theory data (PBE) for a relaxed structure of ZnInCu3Se4.

Computed properties:
- Energy: -3.526 eV/atom
- Magnetic moment: 0.00 μB/cell

```
data_ZnInCu3Se4
_symmetry_space_group_name_H-M 'P -4 3 m'
_symmetry_Int_Tables_number 215
_symmetry_space_group_name_Hall 'P -4 2 3'
_cell_length_a 5.860
_cell_length_b 5.860
_cell_length_c 5.860
_cell_angle_alpha 90.00
_cell_angle_beta 90.00
_cell_angle_gamma 90.00
loop_
_atom_site_label
_atom_site_fract_x
_atom_site_fract_y
_atom_site_fract_z
_atom_site_occupancy
Zn1 0.000 0.000 0.000 1
In1 0.500 0.500 0.500 1
Cu1 0.000 0.500 0.500 1
Se1 0.242 0.242 0.758 1
```



[10]
Density functional theory data (PBE) for a relaxed structure of InCuSi2.

Computed properties:
- Energy: -4.164 eV/atom
- Magnetic moment: 0.00 μB/cell

```
data_InCuSi2
_symmetry_space_group_name_H-M 'R 3 m'
_symmetry_Int_Tables_number 160
_symmetry_space_group_name_Hall 'R 3 -2"'
_cell_length_a 3.7354
_cell_length_b 3.7354
_cell_length_c 18.5443
_cell_angle_alpha 90.00
_cell_angle_beta 90.00
_cell_angle_gamma 120.00
loop_
_atom_site_label
_atom_site_fract_x
_atom_site_fract_y
_atom_site_fract_z
_atom_site_occupancy
In1 0.0000 0.0000 0.0000 1
Cu1 0.0000 0.0000 0.7606 1
Si1 0.0000 0.0000 0.2156 1
Si2 0.0000 0.0000 0.4921 1
```



[11]
Density functional theory data (PBE) for a relaxed structure of InCuSi2.

Computed properties:
- Energy: -4.105 eV/atom
- Magnetic moment: 0.00 μB/cell

```
data_InCuSi2
_symmetry_space_group_name_H-M 'P 4 m m'
_symmetry_Int_Tables_number 99
_cell_length_a 3.130
_cell_length_b 3.130
_cell_length_c 7.107
_cell_angle_alpha 90.00
_cell_angle_beta 90.00
_cell_angle_gamma 90.00
loop_
_symmetry_equiv_pos_as_xyz
'x,y,z'
'-y,x,z'
'-x,-y,z'
'y,-x,z'
'-x,y,z'
'y,x,z'
'x,-y,z'
'-y,-x,z'
loop_
_atom_site_label
_atom_site_fract_x
_atom_site_fract_y
_atom_site_fract_z
_atom_site_occupancy
In1 0.000 0.000 0.000 1
Cu1 0.500 0.500 0.722 1
Si1 0.000 0.000 0.535 1
Si2 0.500 0.500 0.356 1
```



[12]
Density functional theory data (PBE) for a relaxed structure of InCuSi2.

Computed properties:
- Energy: -4.165 eV/atom
- Magnetic moment: 0.00 μB/cell

```
data_InCuSi2
_symmetry_space_group_name_H-M 'P 1 2/m 1'
_symmetry_Int_Tables_number 10
_cell_length_a 4.165
_cell_length_b 4.065
_cell_length_c 4.514
_cell_angle_alpha 90.00
_cell_angle_beta 107.25
_cell_angle_gamma 90.00
loop_
_symmetry_equiv_pos_as_xyz
'x,y,z'
'-x,-y,-z'
'-x,y,-z'
'x,-y,z'
loop_
_atom_site_label
_atom_site_fract_x
_atom_site_fract_y
_atom_site_fract_z
_atom_site_occupancy
In1 0.000 0.000 0.000 1
Cu1 0.500 0.000 0.500 1
Si1 0.315 0.500 0.685 1
```



[13]
Density functional theory data (PBE) for a relaxed structure of InCuSi2.

Computed properties:
- Energy: -4.073 eV/atom
- Magnetic moment: 0.00 μB/cell

```
data_InCuSi2
_symmetry_space_group_name_H-M 'P 4/m m m'
_symmetry_Int_Tables_number 123
_symmetry_space_group_name_Hall '-P 4 2'
_cell_length_a 2.762
_cell_length_b 2.762
_cell_length_c 9.321
_cell_angle_alpha 90.00
_cell_angle_beta 90.00
_cell_angle_gamma 90.00
loop_
_atom_site_label
_atom_site_fract_x
_atom_site_fract_y
_atom_site_fract_z
_atom_site_occupancy
In1 0.000 0.000 0.000 1
Cu1 0.000 0.000 0.500 1
Si1 0.500 0.500 0.309 1
```



[14]
Density functional theory data (PBE) for a relaxed structure of InCu2Si.

Computed properties:
- Energy: -3.844 eV/atom
- Magnetic moment: 0.00 μB/cell

```
data_InCu2Si
_symmetry_space_group_name_H-M 'P 4/m m m'
_symmetry_Int_Tables_number 123
_symmetry_space_group_name_Hall '-P 4 2'
_cell_length_a 3.973
_cell_length_b 3.973
_cell_length_c 3.922
_cell_angle_alpha 90.00
_cell_angle_beta 90.00
_cell_angle_gamma 90.00
loop_
_atom_site_label
_atom_site_fract_x
_atom_site_fract_y
_atom_site_fract_z
_atom_site_occupancy
In1 0.000 0.000 0.000 1
Cu1 0.000 0.500 0.500 1
Si1 0.500 0.500 0.000 1
```



[15]
Density functional theory data (PBE) for a relaxed structure of InCu2Si.

Computed properties:
- Energy: -3.901 eV/atom
- Magnetic moment: 0.00 μB/cell

```
data_InCu2Si
_symmetry_space_group_name_H-M 'R -3 m'
_symmetry_Int_Tables_number 166
_symmetry_space_group_name_Hall '-R 3 2"'
_cell_length_a 3.0134
_cell_length_b 3.0134
_cell_length_c 24.1091
_cell_angle_alpha 90.00
_cell_angle_beta 90.00
_cell_angle_gamma 120.00
loop_
_atom_site_label
_atom_site_fract_x
_atom_site_fract_y
_atom_site_fract_z
_atom_site_occupancy
In1 0.0000 0.0000 0.0000 1
Cu1 0.0000 0.0000 0.2400 1
Si1 0.0000 0.0000 0.5000 1
```



[16]
Density functional theory data (PBE) for a relaxed structure of InCu2Si.

Computed properties:
- Energy: -3.786 eV/atom
- Magnetic moment: 0.00 μB/cell

```
data_InCu2Si
_symmetry_space_group_name_H-M 'F m -3 m'
_symmetry_Int_Tables_number 225
_symmetry_space_group_name_Hall '-F 4 2 3'
_cell_length_a 6.327
_cell_length_b 6.327
_cell_length_c 6.327
_cell_angle_alpha 90.00
_cell_angle_beta 90.00
_cell_angle_gamma 90.00
loop_
_atom_site_label
_atom_site_fract_x
_atom_site_fract_y
_atom_site_fract_z
_atom_site_occupancy
In1 0.000 0.000 0.000 1
Cu1 0.250 0.250 0.250 1
Si1 0.000 0.000 0.500 1
```



[17]
Density functional theory data (PBE) for a relaxed structure of InCu2Si2.

Computed properties:
- Energy: -4.092 eV/atom
- Magnetic moment: 0.00 μB/cell

```
data_InCu2Si2
_symmetry_space_group_name_H-M 'P 4/m b m'
_symmetry_Int_Tables_number 127
_symmetry_space_group_name_Hall '-P 4 2ab'
_cell_length_a 7.710
_cell_length_b 7.710
_cell_length_c 2.691
_cell_angle_alpha 90.00
_cell_angle_beta 90.00
_cell_angle_gamma 90.00
loop_
_atom_site_label
_atom_site_fract_x
_atom_site_fract_y
_atom_site_fract_z
_atom_site_occupancy
In1 0.000 0.000 0.000 1
Cu1 0.154 0.346 0.000 1
Si1 0.135 0.635 0.500 1
```



[18]
Density functional theory data (PBE) for a relaxed structure of InCu2Si.

Computed properties:
- Energy: -3.701 eV/atom
- Magnetic moment: 0.00 μB/cell

```
data_InCu2Si
_symmetry_space_group_name_H-M 'F -4 3 m'
_symmetry_Int_Tables_number 216
_symmetry_space_group_name_Hall 'F -4 2 3'
_cell_length_a 6.378
_cell_length_b 6.378
_cell_length_c 6.378
_cell_angle_alpha 90.00
_cell_angle_beta 90.00
_cell_angle_gamma 90.00
loop_
_atom_site_label
_atom_site_fract_x
_atom_site_fract_y
_atom_site_fract_z
_atom_site_occupancy
In1 0.000 0.000 0.000 1
Cu1 0.000 0.000 0.500 1
Cu2 0.250 0.250 0.250 1
Si1 0.250 0.250 0.750 1
```



[19]
Density functional theory data (PBE) for a relaxed structure of InCuSi2.

Computed properties:
- Energy: -4.167 eV/atom
- Magnetic moment: 0.00 μB/cell

```
data_InCuSi2
_symmetry_space_group_name_H-M 'P 1 m 1'
_symmetry_Int_Tables_number 6
_cell_length_a 2.869
_cell_length_b 3.445
_cell_length_c 7.049
_cell_angle_alpha 90.00
_cell_angle_beta 101.54
_cell_angle_gamma 90.00
loop_
_symmetry_equiv_pos_as_xyz
'x,y,z'
'x,-y,z'
loop_
_atom_site_label
_atom_site_fract_x
_atom_site_fract_y
_atom_site_fract_z
_atom_site_occupancy
In1 0.000 0.000 0.000 1
Cu1 0.359 0.500 0.728 1
Si1 0.174 0.500 0.353 1
Si2 0.766 0.000 0.539 1
```



[20]
Density functional theory data (PBE) for a relaxed structure of InCu2Si.

Computed properties:
- Energy: -3.847 eV/atom
- Magnetic moment: 0.00 μB/cell

```
data_InCu2Si
_symmetry_space_group_name_H-M 'I -4 m 2'
_symmetry_Int_Tables_number 119
_symmetry_space_group_name_Hall 'I -4 -2'
_cell_length_a 3.911
_cell_length_b 3.911
_cell_length_c 8.136
_cell_angle_alpha 90.00
_cell_angle_beta 90.00
_cell_angle_gamma 90.00
loop_
_atom_site_label
_atom_site_fract_x
_atom_site_fract_y
_atom_site_fract_z
_atom_site_occupancy
In1 0.000 0.000 0.000 1
Cu1 0.000 0.000 0.500 1
Cu2 0.000 0.500 0.250 1
Si1 0.000 0.500 0.750 1
```